First-principles (PBE) data for a relaxed structure of GeTeP, as listed in Alexandria.

Values from the calculation:
M_tot in Bohr magnetons per cell: 0.00
SG: C2/m (12)
Formation energy without anion corrections in eV/atom: 0.199

abc: 6.2812 6.2812 6.9152
angles: 122.95 122.95 36.43
Closest atoms and distances in Å follow each position.
Fractional coordinates of all 6 atoms:
Ge 0.1062 0.1062 0.4464  3 P 2.55-2.57
Ge 0.8938 0.8938 0.5536  3 P 2.55-2.57
Te 0.4146 0.4146 0.0925  3 P 2.91-2.94, 2 Ge 2.94, 1 Te 2.96
Te 0.5854 0.5854 0.9075  3 P 2.91-2.94, 2 Ge 2.94, 1 Te 2.96
P 0.2509 0.2509 0.2826  3 Ge 2.55-2.57
P 0.7491 0.7491 0.7174  3 Ge 2.55-2.57